Record 1
This record from the Alexandria database describes crystalline RbPr2RuO5 at its relaxed geometry. The functional is GGA-PBE.

## Properties
volume: 15.954 A^3/atom
VASP energy: -129.67 eV for the cell shown
raw formation energy: -2249 meV/atom

Cell and atoms, written as CIF:
```
data_RbPr2RuO5
_chemical_formula_sum 'Rb2 Pr4 Ru2 O10'
_symmetry_space_group_name_H-M 'P 4/m b m'
_symmetry_Int_Tables_number 127
_symmetry_space_group_name_Hall '-P 4 2ab'
_cell_length_a 6.978
_cell_length_b 6.978
_cell_length_c 5.898
_cell_angle_alpha 90.00
_cell_angle_beta 90.00
_cell_angle_gamma 90.00
loop_
_atom_site_label
_atom_site_type_symbol
_atom_site_fract_x
_atom_site_fract_y
_atom_site_fract_z
Rb1 Rb 0.000 0.000 0.000
Pr1 Pr 0.178 0.322 0.500
Ru1 Ru 0.000 0.500 0.000
O1 O 0.000 0.000 0.500
O2 O 0.131 0.631 0.250
```

=====

Record 2
This record from the Alexandria database describes crystalline CsScPtBr6 at its relaxed geometry. The functional is GGA-PBE.

## Properties
volume: 38.482 A^3/atom
VASP energy: -33.43 eV for the cell shown
raw formation energy: -1129 meV/atom

Cell and atoms, written as CIF:
```
data_CsScPtBr6
_chemical_formula_sum 'Cs1 Sc1 Pt1 Br6'
_symmetry_space_group_name_H-M 'P 3 1 2'
_symmetry_Int_Tables_number 149
_symmetry_space_group_name_Hall 'P 3 2'
_cell_length_a 6.9507
_cell_length_b 6.9507
_cell_length_c 8.2777
_cell_angle_alpha 90.00
_cell_angle_beta 90.00
_cell_angle_gamma 120.00
loop_
_atom_site_label
_atom_site_type_symbol
_atom_site_fract_x
_atom_site_fract_y
_atom_site_fract_z
Cs1 Cs 0.0000 0.0000 0.0000
Sc1 Sc 0.6667 0.3333 0.5000
Pt1 Pt 0.3333 0.6667 0.5000
Br1 Br 0.3705 0.0013 0.6851
```

=====

Record 3
This record from the Alexandria database describes crystalline K3Ho3NbSe8 at its relaxed geometry. The functional is GGA-PBE.

## Properties
volume: 30.049 A^3/atom
VASP energy: -233.09 eV for the cell shown
raw formation energy: -1515 meV/atom

Cell and atoms, written as CIF:
```
data_K3Ho3NbSe8
_chemical_formula_sum 'K9 Ho9 Nb3 Se24'
_symmetry_space_group_name_H-M 'R -3 m'
_symmetry_Int_Tables_number 166
_symmetry_space_group_name_Hall '-R 3 2"'
_cell_length_a 8.1387
_cell_length_b 8.1387
_cell_length_c 23.5704
_cell_angle_alpha 90.00
_cell_angle_beta 90.00
_cell_angle_gamma 120.00
loop_
_atom_site_label
_atom_site_type_symbol
_atom_site_fract_x
_atom_site_fract_y
_atom_site_fract_z
K1 K 0.0000 0.5000 0.0000
Ho1 Ho 0.0000 0.5000 0.5000
Nb1 Nb 0.0000 0.0000 0.5000
Se1 Se 0.0000 0.0000 0.2352
Se2 Se 0.0189 0.5094 0.2317
```

=====

Record 4
This record from the Alexandria database describes crystalline TbErBi at its relaxed geometry. The functional is GGA-PBE.

## Properties
formation energy from the elements: -0.590 eV/atom
volume: 29.306 A^3/atom
VASP energy: -118.74 eV for the cell shown

Cell and atoms, written as CIF:
```
data_TbErBi
_chemical_formula_sum 'Tb8 Er8 Bi8'
_symmetry_space_group_name_H-M 'C m c e'
_symmetry_Int_Tables_number 64
_symmetry_space_group_name_Hall '-C 2ac 2'
_cell_length_a 17.420
_cell_length_b 6.351
_cell_length_c 6.357
_cell_angle_alpha 90.00
_cell_angle_beta 90.00
_cell_angle_gamma 90.00
loop_
_atom_site_label
_atom_site_type_symbol
_atom_site_fract_x
_atom_site_fract_y
_atom_site_fract_z
Tb1 Tb 0.178 0.000 0.000
Er1 Er 0.000 0.196 0.193
Bi1 Bi 0.138 0.000 0.500
```

=====

Record 5
This record from the Alexandria database describes crystalline ZnAg2I4 at its relaxed geometry. The functional is GGA-PBE.

## Properties
volume: 37.875 A^3/atom
VASP energy: -31.96 eV for the cell shown
raw formation energy: -400 meV/atom

Cell and atoms, written as CIF:
```
data_ZnAg2I4
_chemical_formula_sum 'Zn2 Ag4 I8'
_symmetry_space_group_name_H-M 'P m n 21'
_symmetry_Int_Tables_number 31
_symmetry_space_group_name_Hall 'P 2ac -2'
_cell_length_a 9.235
_cell_length_b 7.746
_cell_length_c 7.412
_cell_angle_alpha 90.00
_cell_angle_beta 90.00
_cell_angle_gamma 90.00
loop_
_atom_site_label
_atom_site_type_symbol
_atom_site_fract_x
_atom_site_fract_y
_atom_site_fract_z
Zn1 Zn 0.000 0.176 0.000
Ag1 Ag 0.247 0.677 0.999
I1 I 0.000 0.158 0.643
I2 I 0.000 0.857 0.136
I3 I 0.243 0.323 0.112
```

=====

Record 6
This record from the Alexandria database describes crystalline KScMnTe3 at its relaxed geometry. The functional is GGA-PBE.

## Properties
volume: 33.262 A^3/atom
VASP energy: -62.57 eV for the cell shown
raw formation energy: -877 meV/atom

Cell and atoms, written as CIF:
```
data_KScMnTe3
_chemical_formula_sum 'K2 Sc2 Mn2 Te6'
_symmetry_space_group_name_H-M 'P 1 21/m 1'
_symmetry_Int_Tables_number 11
_symmetry_space_group_name_Hall '-P 2yb'
_cell_length_a 9.471
_cell_length_b 4.311
_cell_length_c 10.395
_cell_angle_alpha 90.00
_cell_angle_beta 109.88
_cell_angle_gamma 90.00
loop_
_atom_site_label
_atom_site_type_symbol
_atom_site_fract_x
_atom_site_fract_y
_atom_site_fract_z
K1 K 0.211 0.250 0.243
Sc1 Sc 0.332 0.750 0.862
Mn1 Mn 0.083 0.250 0.607
Te1 Te 0.117 0.250 0.871
Te2 Te 0.225 0.750 0.544
Te3 Te 0.464 0.750 0.158
```

=====

Record 7
This record from the Alexandria database describes crystalline Li5Ga5Pd2 at its relaxed geometry. The functional is GGA-PBE.

## Properties
formation energy from the elements: -0.417 eV/atom
volume: 15.064 A^3/atom
VASP energy: -80.19 eV for the cell shown

Cell and atoms, written as CIF:
```
data_Li5Ga5Pd2
_chemical_formula_sum 'Li10 Ga10 Pd4'
_symmetry_space_group_name_H-M 'C 1 2/m 1'
_symmetry_Int_Tables_number 12
_symmetry_space_group_name_Hall '-C 2y'
_cell_length_a 7.550
_cell_length_b 4.488
_cell_length_c 10.690
_cell_angle_alpha 90.00
_cell_angle_beta 93.51
_cell_angle_gamma 90.00
loop_
_atom_site_label
_atom_site_type_symbol
_atom_site_fract_x
_atom_site_fract_y
_atom_site_fract_z
Li1 Li 0.000 0.000 0.000
Li2 Li 0.161 0.500 0.823
Li3 Li 0.165 0.500 0.575
Ga1 Ga 0.000 0.000 0.500
Ga2 Ga 0.010 0.000 0.261
Ga3 Ga 0.170 0.500 0.069
Pd1 Pd 0.177 0.500 0.308
```

=====

Record 8
This record from the Alexandria database describes crystalline Cs2RbSnAu at its relaxed geometry. The functional is GGA-PBE.

## Properties
formation energy from the elements: -0.010 eV/atom
volume: 61.520 A^3/atom
VASP energy: -10.00 eV for the cell shown

Cell and atoms, written as CIF:
```
data_Cs2RbSnAu
_chemical_formula_sum 'Cs2 Rb1 Sn1 Au1'
_symmetry_space_group_name_H-M 'P 4/m m m'
_symmetry_Int_Tables_number 123
_symmetry_space_group_name_Hall '-P 4 2'
_cell_length_a 7.696
_cell_length_b 7.696
_cell_length_c 5.194
_cell_angle_alpha 90.00
_cell_angle_beta 90.00
_cell_angle_gamma 90.00
loop_
_atom_site_label
_atom_site_type_symbol
_atom_site_fract_x
_atom_site_fract_y
_atom_site_fract_z
Cs1 Cs 0.000 0.500 0.000
Rb1 Rb 0.000 0.000 0.500
Sn1 Sn 0.500 0.500 0.000
Au1 Au 0.500 0.500 0.500
```

=====

Record 9
This record from the Alexandria database describes crystalline Ti2Zn6Pd at its relaxed geometry. The functional is GGA-PBE.

## Properties
formation energy from the elements: -0.117 eV/atom
volume: 15.342 A^3/atom
VASP energy: -59.36 eV for the cell shown

Cell and atoms, written as CIF:
```
data_Ti2Zn6Pd
_chemical_formula_sum 'Ti4 Zn12 Pd2'
_symmetry_space_group_name_H-M 'C 1 2/m 1'
_symmetry_Int_Tables_number 12
_symmetry_space_group_name_Hall '-C 2y'
_cell_length_a 9.865
_cell_length_b 4.621
_cell_length_c 7.394
_cell_angle_alpha 90.00
_cell_angle_beta 124.98
_cell_angle_gamma 90.00
loop_
_atom_site_label
_atom_site_type_symbol
_atom_site_fract_x
_atom_site_fract_y
_atom_site_fract_z
Ti1 Ti 0.057 0.000 0.219
Zn1 Zn 0.114 0.500 0.453
Zn2 Zn 0.175 0.000 0.671
Zn3 Zn 0.213 0.500 0.891
Pd1 Pd 0.000 0.500 0.000
```

=====

Record 10
This record from the Alexandria database describes crystalline LaZnI2O at its relaxed geometry. The functional is GGA-PBE.

## Properties
volume: 26.142 A^3/atom
VASP energy: -18.86 eV for the cell shown
raw formation energy: -920 meV/atom

Cell and atoms, written as CIF:
```
data_LaZnI2O
_chemical_formula_sum 'La1 Zn1 I2 O1'
_symmetry_space_group_name_H-M 'P 4/m m m'
_symmetry_Int_Tables_number 123
_symmetry_space_group_name_Hall '-P 4 2'
_cell_length_a 5.918
_cell_length_b 5.918
_cell_length_c 3.732
_cell_angle_alpha 90.00
_cell_angle_beta 90.00
_cell_angle_gamma 90.00
loop_
_atom_site_label
_atom_site_type_symbol
_atom_site_fract_x
_atom_site_fract_y
_atom_site_fract_z
La1 La 0.000 0.000 0.000
Zn1 Zn 0.500 0.500 0.500
I1 I 0.000 0.500 0.500
O1 O 0.500 0.500 0.000
```

=====

Record 11
This record from the Alexandria database describes crystalline Ac8IrRu3Br4 at its relaxed geometry. The functional is GGA-PBE.

## Properties
volume: 33.385 A^3/atom
VASP energy: -181.89 eV for the cell shown
raw formation energy: -918 meV/atom

Cell and atoms, written as CIF:
```
data_Ac8IrRu3Br4
_chemical_formula_sum 'Ac16 Ir2 Ru6 Br8'
_symmetry_space_group_name_H-M 'C 1 2/m 1'
_symmetry_Int_Tables_number 12
_symmetry_space_group_name_Hall '-C 2y'
_cell_length_a 14.974
_cell_length_b 8.643
_cell_length_c 9.650
_cell_angle_alpha 90.00
_cell_angle_beta 121.19
_cell_angle_gamma 90.00
loop_
_atom_site_label
_atom_site_type_symbol
_atom_site_fract_x
_atom_site_fract_y
_atom_site_fract_z
Ac1 Ac 0.019 0.248 0.306
Ac2 Ac 0.232 0.000 0.695
Ac3 Ac 0.233 0.500 0.694
Ir1 Ir 0.000 0.500 0.500
Ru1 Ru 0.000 0.000 0.500
Ru2 Ru 0.250 0.250 0.500
Br1 Br 0.000 0.000 0.000
Br2 Br 0.000 0.500 0.000
Br3 Br 0.250 0.250 0.000
```

=====

Record 12
This record from the Alexandria database describes crystalline Mn3POs at its relaxed geometry. The functional is GGA-PBE.

## Properties
formation energy from the elements: 0.735 eV/atom
volume: 13.541 A^3/atom
VASP energy: -40.47 eV for the cell shown

Cell and atoms, written as CIF:
```
data_Mn3POs
_chemical_formula_sum 'Mn3 P1 Os1'
_symmetry_space_group_name_H-M 'P m -3 m'
_symmetry_Int_Tables_number 221
_symmetry_space_group_name_Hall '-P 4 2 3'
_cell_length_a 4.076
_cell_length_b 4.076
_cell_length_c 4.076
_cell_angle_alpha 90.00
_cell_angle_beta 90.00
_cell_angle_gamma 90.00
loop_
_atom_site_label
_atom_site_type_symbol
_atom_site_fract_x
_atom_site_fract_y
_atom_site_fract_z
Mn1 Mn 0.000 0.000 0.500
P1 P 0.000 0.000 0.000
Os1 Os 0.500 0.500 0.500
```

=====

- The lowest VASP energy belongs to which entry?
  K3Ho3NbSe8

=====

- Number 10 is which compound?
  LaZnI2O